Entry 1:
Below is crystalline GaTcN at its relaxed geometry, with properties calculated at the GGA-PBE level.

Cell: 5.355 2.863 5.122 Å, 90.00 114.66 90.00°
Fractional positions:
Ga 0.856 0.000 0.802
Ga 0.856 0.500 0.302
Tc 0.279 0.000 0.679
Tc 0.279 0.500 0.179
N 0.534 0.000 0.116
N 0.534 0.500 0.616

Computed properties:
The space-group type is Cm (8). The total magnetic moment is 0.000 μB/cell. As for the total energy: -7.28 eV/atom.

Entry 2:
Below is crystalline GaTc3N at its relaxed geometry, with properties calculated at the GGA-PBE level.

Cell: 4.515 4.515 4.515 Å, 90.00 90.00 90.00°
Fractional positions:
Tc 0.000 0.500 0.000
Tc 0.000 0.000 0.500
Tc 0.500 0.000 0.000
Ga 0.000 0.000 0.000
N 0.500 0.500 0.500

Computed properties:
The space-group type is Pm-3m (221). The total magnetic moment is 0.000 μB/cell. As for the total energy: -5.71 eV/atom.

Entry 3:
Below is crystalline GaTcN at its relaxed geometry, with properties calculated at the GGA-PBE level.

Cell: 3.108 4.433 14.402 Å, 138.32 90.00 110.52°
Fractional positions:
Tc 0.804 0.607 0.770
Tc 0.196 0.393 0.230
Ga 0.737 0.473 0.915
Ga 0.263 0.527 0.085
N 0.887 0.773 0.327
N 0.113 0.227 0.673

Computed properties:
The space-group type is C2/m (12). The total magnetic moment is 0.000 μB/cell. As for the total energy: -6.92 eV/atom.

Entry 4:
Below is crystalline GaTcN at its relaxed geometry, with properties calculated at the GGA-PBE level.

Cell: 5.498 2.849 10.060 Å, 90.00 97.04 90.00°
Fractional positions:
Ga 0.835 0.000 0.265
Ga 0.835 0.500 0.765
Ga 0.582 0.000 0.491
Ga 0.582 0.500 0.991
Tc 0.429 0.000 0.727
Tc 0.429 0.500 0.227
Tc 0.190 0.000 0.014
Tc 0.190 0.500 0.514
N 0.931 0.000 0.474
N 0.931 0.500 0.974
N 0.160 0.000 0.206
N 0.160 0.500 0.706

Computed properties:
The space-group type is Cm (8). The total magnetic moment is 0.000 μB/cell. As for the total energy: -7.28 eV/atom.

Entry 5:
Below is crystalline GaTcN at its relaxed geometry, with properties calculated at the GGA-PBE level.

Cell: 5.328 2.883 10.853 Å, 90.00 108.89 90.00°
Fractional positions:
Ga 0.249 0.000 0.205
Ga 0.249 0.500 0.705
Ga 0.600 0.000 0.022
Ga 0.600 0.500 0.522
Tc 0.862 0.000 0.732
Tc 0.862 0.500 0.232
Tc 0.946 0.000 0.449
Tc 0.946 0.500 0.949
N 0.229 0.000 0.010
N 0.229 0.500 0.510
N 0.635 0.000 0.279
N 0.635 0.500 0.779

Computed properties:
The space-group type is Cm (8). The total magnetic moment is 0.000 μB/cell. As for the total energy: -7.26 eV/atom.

Entry 6:
Below is crystalline GaTcN at its relaxed geometry, with properties calculated at the GGA-PBE level.

Cell: 5.039 2.900 5.314 Å, 90.00 97.60 90.00°
Fractional positions:
Ga 0.750 0.000 0.596
Ga 0.640 0.500 0.068
Tc 0.327 0.500 0.434
Tc 0.098 0.000 0.030
N 0.262 0.500 0.826
N 0.050 0.000 0.400

Computed properties:
The space-group type is Pm (6). The total magnetic moment is 0.000 μB/cell. As for the total energy: -7.29 eV/atom.